# 1
Entry from the Alexandria database: a geometry-optimized YPaAl2O8 structure (PBE).

abc: 5.9216 5.9216 5.9216
angles: 107.79 107.79 112.88
Last column: nearest neighbours and their distance in Å.
Sites, in units of the cell vectors:
Y  0.0000  0.0000  0.0000  8 O 2.26-2.48
Pa  0.2500  0.7500  0.5000  8 O 2.21-2.41
Al  0.5000  0.5000  0.0000  4 O 1.78
Al  0.7500  0.2500  0.5000  4 O 1.76
O  0.3200  0.1293  0.8093  1 Al 1.78
O  0.3200  0.5107  0.1907  1 Al 1.78
O  0.3826  0.0640  0.3186  1 Al 1.76
O  0.4893  0.6800  0.8093  1 Al 1.78
O  0.7455  0.0640  0.6814  1 Al 1.76
O  0.8707  0.6800  0.1907  1 Al 1.78
O  0.9360  0.2545  0.3186  1 Al 1.76
O  0.9360  0.6174  0.6814  1 Al 1.76

DFT total energy: -0.595 Ry per atom
DOS at the Fermi energy: 8.697 states/eV/f.u.
symmetry: I-4m2

***

# 2
Entry from the Alexandria database: a geometry-optimized PaAlZnO6 structure (PBE).

abc: 5.0591 5.0591 4.7780
angles: 90.00 90.00 120.00
Last column: nearest neighbours and their distance in Å.
Sites, in units of the cell vectors:
Pa  0.0000  0.0000  0.0000  6 O 2.19
Al  0.6667  0.3333  0.5000  6 O 1.91
Zn  0.3333  0.6667  0.5000  6 O 2.05
O  0.3581  0.0214  0.7274  1 Al 1.91, 1 Zn 2.05
O  0.3581  0.3367  0.2726  1 Al 1.91, 1 Zn 2.05
O  0.6633  0.0214  0.2726  1 Al 1.91, 1 Zn 2.05
O  0.6633  0.6419  0.7274  1 Al 1.91, 1 Zn 2.05
O  0.9786  0.3367  0.7274  1 Al 1.91, 1 Zn 2.05
O  0.9786  0.6419  0.2726  1 Al 1.91, 1 Zn 2.05

DFT total energy: -0.531 Ry per atom
DOS at the Fermi energy: 7.508 states/eV/f.u.
symmetry: P312